--- a ---
This record from Alexandria via LeMat-Bulk describes a geometry-optimized La7NdTm3 structure. The functional is PBE.

It has space group P-1 (No. 2), with a = 6.635 Å, b = 6.775 Å, c = 8.912 Å, α = 99.65°, β = 98.97° and γ = 95.37°. The distinct sites, in fractional coordinates, are La at (0.000, 0.000, 0.000), La at (0.045, 0.708, 0.644), La at (0.212, 0.222, 0.708), La at (0.481, 0.737, 0.909), Nd at (0.000, 0.500, 0.000), Tm at (0.317, 0.924, 0.337) and Tm at (0.500, 0.500, 0.500).

As for the magnetization: 0.000 μB/atom.

---

--- b ---
This record from Alexandria via LeMat-Bulk describes a geometry-optimized La7NdTm3 structure. The functional is PBE.

It has space group P3m1 (No. 156), with a = 7.2991 Å, b = 7.2991 Å, c = 8.6175 Å, α = 90.00°, β = 90.00° and γ = 120.00°. The distinct sites, in fractional coordinates, are La at (0.0000, 0.0000, 0.0000), La at (0.3388, 0.1694, 0.6641), La at (0.5027, 0.0054, 0.0342), Nd at (0.3333, 0.6667, 0.6942) and Tm at (0.1670, 0.3339, 0.3492).

As for the magnetization: 0.000 μB/atom.

---

Which of them is least stable? Easy: b.